# 1
DFT (PBE) results for a relaxed structure of CaSiRh2.

Formation energy from raw total energies (kJ per mole of atoms): -6
Density of states at the Fermi level (states/eV/f.u.): 5.39
Energy (eV/f.u.): -22.4
Magnetic moment (μB/atom): 0.001
Symmetry: F-43m (216)

abc: 4.5457 4.5457 4.5457
angles: 60.00 60.00 60.00
Fractional coordinates of all 4 atoms:
Rh (0.2500, 0.2500, 0.2500)
Rh (0.0000, 0.0000, 0.0000)
Si (0.7500, 0.7500, 0.7500)
Ca (0.5000, 0.5000, 0.5000)


# 2
DFT (PBE) results for a relaxed structure of CaSi7Rh3.

Formation energy from raw total energies (kJ per mole of atoms): -59
Density of states at the Fermi level (states/eV/f.u.): 3.74
Energy (eV/f.u.): -68.8
Magnetic moment (μB/atom): 0.000
Symmetry: R-3c (167)

abc: 7.6220 7.6215 8.0101
angles: 61.61 61.59 60.01
Fractional coordinates of all 22 atoms:
Si (0.6496, 0.4337, 0.0889)
Si (0.1722, 0.3504, 0.9111)
Si (0.9337, 0.1496, 0.5889)
Si (0.0663, 0.8504, 0.4111)
Si (0.4337, 0.8278, 0.0888)
Si (0.3279, 0.9337, 0.5889)
Si (0.8503, 0.6722, 0.4112)
Si (0.1497, 0.3278, 0.5888)
Si (0.7500, 0.7500, 0.7500)
Si (0.8278, 0.6496, 0.0889)
Si (0.2500, 0.2500, 0.2500)
Si (0.6721, 0.0663, 0.4111)
Si (0.3504, 0.5663, 0.9111)
Si (0.5663, 0.1722, 0.9112)
Rh (0.0697, 0.7500, 0.7500)
Rh (0.4304, 0.0696, 0.7500)
Rh (0.7500, 0.4303, 0.7500)
Rh (0.9303, 0.2500, 0.2500)
Rh (0.5696, 0.9304, 0.2500)
Rh (0.2500, 0.5697, 0.2500)
Ca (0.0000, 0.0000, 0.0000)
Ca (0.5000, 0.5000, 0.5000)


# 3
DFT (PBE) results for a relaxed structure of CaSiRh3.

Formation energy from raw total energies (kJ per mole of atoms): 151
Polymorph energy (0 for the lowest one) (eV per formula unit): 9.861
Density of states at the Fermi level (states/eV/f.u.): 4.02
Energy (eV/f.u.): -21.7
Magnetic moment (μB/atom): 0.192
Symmetry: Pm-3m (221)

abc: 4.7030 4.7030 4.7030
angles: 90.00 90.00 90.00
Site moments in Bohr magnetons follow the coordinates.
Fractional coordinates of all 5 atoms:
Rh (0.0000, 0.0000, 0.5000)  0.39
Rh (0.5000, 0.0000, 0.0000)  0.26
Rh (0.0000, 0.5000, 0.0000)  0.40
Si (0.5000, 0.5000, 0.5000)  -0.02
Ca (0.0000, 0.0000, 0.0000)  -0.03


# 4
DFT (PBE) results for a relaxed structure of Ca2Si4Rh5.

Formation energy from raw total energies (kJ per mole of atoms): -85
Density of states at the Fermi level (states/eV/f.u.): 5.45
Energy (eV/f.u.): -72.2
Magnetic moment (μB/atom): 0.000
Symmetry: Fmmm (69)

abc: 5.6838 5.6566 7.4311
angles: 78.92 67.52 59.84
Fractional coordinates of all 11 atoms:
Rh (0.5000, 0.0000, 0.0000)
Rh (0.7500, 0.5000, 0.5000)
Rh (0.2500, 0.5000, 0.5000)
Rh (0.5000, 0.5000, 0.0000)
Rh (0.0000, 0.5000, 0.0000)
Si (0.5265, 0.6864, 0.2606)
Si (0.4735, 0.3136, 0.7394)
Si (0.7871, 0.6864, 0.7394)
Si (0.2129, 0.3136, 0.2606)
Ca (0.1279, 0.0000, 0.7441)
Ca (0.8721, 0.0000, 0.2559)


Look up the density of states at the Fermi level of the fourth one.
5.45 states/eV/f.u.